This record from Alexandria describes Mo3BrCl7 after structural relaxation. The functional is GGA-PBE.

Lattice parameters (Å, degrees): 6.7416 6.7416 9.1416 123.45 123.45 59.97
Atoms (fractional coordinates):
1 Mo 0.0000 0.0000 0.0000
2 Mo 0.9999 0.4155 0.0000
3 Mo 0.4155 0.9999 0.0000
4 Br 0.0010 0.0010 0.7241
5 Cl 0.0493 0.5451 0.8156
6 Cl 0.4151 0.4151 0.2310
7 Cl 0.4155 0.9284 0.2303
8 Cl 0.5451 0.0493 0.8156
9 Cl 0.5454 0.5454 0.8159
10 Cl 0.8963 0.8963 0.1830
11 Cl 0.9284 0.4155 0.2303

Its space group is No. 8. The calculation puts the volume at 25.2 A^3/atom. The value obtained for the energy is -5.019 eV/atom. As for the formation energy without anion corrections: -738 meV per atom. The value obtained for the total moment is 2.0 Bohr magnetons per cell.